Density functional theory data (GGA-PBE) for a relaxed structure of Mn3BOs.

```
Mn3BOs
1.0
3.7906 0.0000 0.0000
0.0000 3.7906 0.0000
0.0000 0.0000 3.7906
B Os Mn
1 1 3
direct
0.0000 0.0000 0.0000 B
0.5000 0.5000 0.5000 Os
0.5000 0.0000 0.0000 Mn
0.0000 0.5000 0.0000 Mn
0.0000 0.0000 0.5000 Mn
```

Uncorrected energy in eV per cell: -44.54
SG: Pm-3m, No. 221
Total magnetization in μB/cell: 0.0
Density in g cm⁻³: 11.15
Crystal system: cubic
Formation energy from the elements in eV/atom: 0.174

Density functional theory data (GGA-PBE) for a relaxed structure of Sr3MnFe.

```
Sr3MnFe
1.0
5.7619 0.0000 0.0000
0.0000 5.7619 0.0000
0.0000 0.0000 5.7619
Sr Fe Mn
3 1 1
direct
0.0000 0.0000 0.5000 Sr
0.0000 0.5000 0.0000 Sr
0.5000 0.0000 0.0000 Sr
0.0000 0.0000 0.0000 Fe
0.5000 0.5000 0.5000 Mn
```

Uncorrected energy in eV per cell: -18.89
SG: Pm-3m, No. 221
Total magnetization in μB/cell: 6.3
Density in g cm⁻³: 3.24
Crystal system: cubic
Formation energy from the elements in eV/atom: 0.758

Density functional theory data (GGA-PBE) for a relaxed structure of ScRh2Pb.

```
ScRh2Pb
1.0
4.3261 0.0000 0.0000
0.0000 4.3261 0.0000
2.1631 2.1631 8.6938
Rh Pb Sc
4 2 2
direct
0.5891 0.1250 0.2500 Rh
0.1609 0.6250 0.2500 Rh
0.3750 0.4109 0.7500 Rh
0.8750 0.8391 0.7500 Rh
0.0000 0.0000 0.0000 Pb
0.7500 0.2500 0.5000 Pb
0.5000 0.5000 0.0000 Sc
0.2500 0.7500 0.5000 Sc
```

Uncorrected energy in eV per cell: -49.82
SG: I-42d, No. 122
Total magnetization in μB/cell: 0.0
Density in g cm⁻³: 9.35
Crystal system: tetragonal
Formation energy from the elements in eV/atom: -0.042

Density functional theory data (GGA-PBE) for a relaxed structure of Tl2TcOs.

```
Tl2TcOs
1.0
-1.0529 3.5851 2.9413
1.8029 0.0736 4.3997
3.3343 3.1894 1.1502
Tc Tl Os
1 2 1
direct
0.7500 0.7500 0.7500 Tc
0.0000 0.0000 0.0000 Tl
0.2500 0.2500 0.2500 Tl
0.5000 0.5000 0.5000 Os
```

Uncorrected energy in eV per cell: -21.59
SG: F-43m, No. 216
Total magnetization in μB/cell: 0.8
Density in g cm⁻³: 15.22
Crystal system: cubic
Formation energy from the elements in eV/atom: 1.184

Density functional theory data (GGA-PBE) for a relaxed structure of MgIBr2.

```
MgIBr2
1.0
0.0000 3.8470 3.8470
3.8470 0.0000 3.8470
3.8470 3.8470 0.0000
Br Mg I
2 1 1
direct
0.7500 0.7500 0.7500 Br
0.2500 0.2500 0.2500 Br
0.0000 0.0000 0.0000 Mg
0.5000 0.5000 0.5000 I
```

Uncorrected energy in eV per cell: -7.10
SG: Fm-3m, No. 225
Total magnetization in μB/cell: 1.0
Density in g cm⁻³: 4.54
Crystal system: cubic

Density functional theory data (GGA-PBE) for a relaxed structure of CaPaIn.

```
CaPaIn
1.0
-5.1519 5.0115 4.3628
2.5743 -1.9924 5.3286
5.9556 3.9532 2.4920
Ca Pa In
4 4 4
direct
0.7841 0.4996 0.5003 Ca
0.7159 0.9996 0.5003 Ca
0.2159 0.5004 0.4997 Ca
0.2841 0.0004 0.4997 Ca
0.3471 0.5006 0.9996 Pa
0.1529 0.0006 0.9996 Pa
0.6529 0.4994 0.0004 Pa
0.8471 0.9994 0.0004 Pa
0.0000 0.3415 0.2148 In
0.5000 0.8415 0.2148 In
0.5000 0.1585 0.7852 In
0.0000 0.6585 0.7852 In
```

Uncorrected energy in eV per cell: -54.99
SG: C2/m, No. 12
Total magnetization in μB/cell: 2.8
Density in g cm⁻³: 7.18
Crystal system: monoclinic
Formation energy from the elements in eV/atom: 0.163

Please write out number 4 again, unchanged.
Density functional theory data (GGA-PBE) for a relaxed structure of Tl2TcOs.

```
Tl2TcOs
1.0
-1.0529 3.5851 2.9413
1.8029 0.0736 4.3997
3.3343 3.1894 1.1502
Tc Tl Os
1 2 1
direct
0.7500 0.7500 0.7500 Tc
0.0000 0.0000 0.0000 Tl
0.2500 0.2500 0.2500 Tl
0.5000 0.5000 0.5000 Os
```

Uncorrected energy in eV per cell: -21.59
SG: F-43m, No. 216
Total magnetization in μB/cell: 0.8
Density in g cm⁻³: 15.22
Crystal system: cubic
Formation energy from the elements in eV/atom: 1.184

Among the records above, which one has the lowest uncorrected energy?
CaPaIn

What is the uncorrected energy in the second record?
-18.89 eV per cell